[1]
Density functional theory data (PBE) for crystalline Cd2CoP at its relaxed geometry.

Values from the calculation:
Space-group type: No. 8
Formation energy from the elements: 0.048 eV per atom

a b c (Å): 6.1264 6.1264 4.5440
angles (deg): 111.28 111.28 27.55
Atoms (fractional coordinates):
Cd (0.0000, 0.0000, 0.0000)
Cd (0.1887, 0.1887, 0.6864)
Co (0.7196, 0.7196, 0.2159)
P (0.3636, 0.3636, 0.3630)

=====

[2]
Density functional theory data (PBE) for crystalline LaSnPt at its relaxed geometry.

Values from the calculation:
Space-group type: No. 59
Formation energy from the elements: -1.065 eV per atom

a b c (Å): 4.7444 15.3571 8.0909
angles (deg): 90.00 90.00 90.00
Atoms (fractional coordinates):
La (0.2500, 0.0055, 0.2063)
La (0.2500, 0.2500, 0.2966)
La (0.2500, 0.4945, 0.2063)
La (0.2500, 0.7500, 0.2918)
La (0.7500, 0.2500, 0.7082)
La (0.7500, 0.5055, 0.7937)
La (0.7500, 0.7500, 0.7034)
La (0.7500, 0.9945, 0.7937)
Sn (0.2500, 0.0962, 0.5873)
Sn (0.2500, 0.4038, 0.5873)
Sn (0.2500, 0.6524, 0.9135)
Sn (0.2500, 0.8476, 0.9135)
Sn (0.7500, 0.1524, 0.0865)
Sn (0.7500, 0.3476, 0.0865)
Sn (0.7500, 0.5962, 0.4127)
Sn (0.7500, 0.9038, 0.4127)
Pt (0.2500, 0.1353, 0.9193)
Pt (0.2500, 0.3647, 0.9193)
Pt (0.2500, 0.6005, 0.5838)
Pt (0.2500, 0.8995, 0.5838)
Pt (0.7500, 0.1005, 0.4162)
Pt (0.7500, 0.3995, 0.4162)
Pt (0.7500, 0.6353, 0.0807)
Pt (0.7500, 0.8647, 0.0807)

=====

[3]
Density functional theory data (PBE) for crystalline Cr2HgPt at its relaxed geometry.

Values from the calculation:
Space-group type: No. 123
Formation energy from the elements: 0.259 eV per atom

a b c (Å): 4.4896 4.4896 3.3174
angles (deg): 90.00 90.00 90.00
Atoms (fractional coordinates):
Cr (0.0000, 0.5000, 0.0000)
Cr (0.5000, 0.0000, 0.0000)
Hg (0.0000, 0.0000, 0.5000)
Pt (0.5000, 0.5000, 0.5000)

=====

[4]
Density functional theory data (PBE) for crystalline NaRe2PbO8 at its relaxed geometry.

Values from the calculation:
Space-group type: No. 12
Formation energy from raw total energies: -1.56 eV per atom

a b c (Å): 6.6051 6.6051 5.9837
angles (deg): 104.64 104.64 60.25
Atoms (fractional coordinates):
Na (0.0000, 0.0000, 0.0000)
Re (0.1927, 0.1927, 0.6681)
Re (0.8073, 0.8073, 0.3319)
Pb (0.5000, 0.5000, 0.5000)
O (0.0890, 0.6541, 0.2373)
O (0.1435, 0.1435, 0.3601)
O (0.3459, 0.9110, 0.7627)
O (0.3553, 0.3553, 0.7551)
O (0.6447, 0.6447, 0.2449)
O (0.6541, 0.0890, 0.2373)
O (0.8565, 0.8565, 0.6399)
O (0.9110, 0.3459, 0.7627)

=====

[5]
Density functional theory data (PBE) for crystalline Ta2Tl2FeS6 at its relaxed geometry.

Values from the calculation:
Space-group type: No. 12
Formation energy from raw total energies: -0.67 eV per atom

a b c (Å): 5.9627 5.9627 8.2539
angles (deg): 96.27 96.27 122.03
Atoms (fractional coordinates):
Ta (0.1422, 0.8578, 0.0000)
Ta (0.8578, 0.1422, 0.0000)
Tl (0.3262, 0.6738, 0.5000)
Tl (0.6738, 0.3262, 0.5000)
Fe (0.5000, 0.5000, 0.0000)
S (0.1317, 0.4586, 0.8319)
S (0.2555, 0.2555, 0.1959)
S (0.4586, 0.1317, 0.8319)
S (0.5414, 0.8683, 0.1681)
S (0.7445, 0.7445, 0.8041)
S (0.8683, 0.5414, 0.1681)

=====

[6]
Density functional theory data (PBE) for crystalline Pm3ErTm2S6 at its relaxed geometry.

Values from the calculation:
Space-group type: No. 12
Formation energy from raw total energies: -2.00 eV per atom

a b c (Å): 6.7744 6.7744 6.9298
angles (deg): 99.36 99.36 120.17
Atoms (fractional coordinates):
Pm (0.0000, 0.0000, 0.0000)
Pm (0.3339, 0.6661, 0.0000)
Pm (0.6661, 0.3339, 0.0000)
Er (0.5000, 0.5000, 0.5000)
Tm (0.1666, 0.8334, 0.5000)
Tm (0.8334, 0.1666, 0.5000)
S (0.0881, 0.4228, 0.2679)
S (0.2425, 0.2425, 0.7317)
S (0.4228, 0.0881, 0.2679)
S (0.5772, 0.9119, 0.7321)
S (0.7575, 0.7575, 0.2683)
S (0.9119, 0.5772, 0.7321)

=====

[7]
Density functional theory data (PBE) for crystalline TiIn2Au at its relaxed geometry.

Values from the calculation:
E above lowest polymorph: 45.0 kJ per mole of atoms
Space-group type: No. 166
Formation energy from the elements: 0.260 eV per atom

a b c (Å): 10.5155 10.5155 10.5155
angles (deg): 17.22 17.22 17.22
Atoms (fractional coordinates):
Ti (0.0000, 0.0000, 0.0000)
In (0.0904, 0.0904, 0.0904)
In (0.9096, 0.9096, 0.9096)
Au (0.5000, 0.5000, 0.5000)

=====

[8]
Density functional theory data (PBE) for crystalline Pm3Ho3ErTe8 at its relaxed geometry.

Values from the calculation:
Space-group type: No. 166
Formation energy from raw total energies: -1.39 eV per atom

a b c (Å): 8.7853 8.7853 8.7853
angles (deg): 59.70 59.70 59.70
Atoms (fractional coordinates):
Pm (0.0000, 0.5000, 0.5000)
Pm (0.5000, 0.0000, 0.5000)
Pm (0.5000, 0.5000, 0.0000)
Ho (0.0000, 0.0000, 0.5000)
Ho (0.0000, 0.5000, 0.0000)
Ho (0.5000, 0.0000, 0.0000)
Er (0.5000, 0.5000, 0.5000)
Te (0.2410, 0.7519, 0.7519)
Te (0.2465, 0.2465, 0.2465)
Te (0.2481, 0.2481, 0.7590)
Te (0.2481, 0.7590, 0.2481)
Te (0.7519, 0.2410, 0.7519)
Te (0.7519, 0.7519, 0.2410)
Te (0.7535, 0.7535, 0.7535)
Te (0.7590, 0.2481, 0.2481)

=====

[9]
Density functional theory data (PBE) for crystalline PmZnAu4 at its relaxed geometry.

Values from the calculation:
E above lowest polymorph: 0.0 kJ per mole of atoms
Space-group type: No. 12
Formation energy from the elements: -0.451 eV per atom

a b c (Å): 6.1895 6.1895 7.8250
angles (deg): 101.33 101.33 58.19
Atoms (fractional coordinates):
Pm (0.2249, 0.2249, 0.3157)
Pm (0.7751, 0.7751, 0.6842)
Zn (0.4412, 0.4412, 0.7599)
Zn (0.5588, 0.5588, 0.2401)
Au (0.1295, 0.6346, 0.0414)
Au (0.1995, 0.1995, 0.6951)
Au (0.2587, 0.7413, 0.5000)
Au (0.3654, 0.8705, 0.9586)
Au (0.6346, 0.1295, 0.0414)
Au (0.7413, 0.2587, 0.5000)
Au (0.8005, 0.8005, 0.3049)
Au (0.8705, 0.3654, 0.9586)

=====

[10]
Density functional theory data (PBE) for crystalline Cd2MoPb at its relaxed geometry.

Values from the calculation:
Space-group type: No. 122
Formation energy from the elements: 0.722 eV per atom

a b c (Å): 6.4045 6.4045 6.4045
angles (deg): 101.24 101.24 127.60
Atoms (fractional coordinates):
Cd (0.0975, 0.1250, 0.4725)
Cd (0.3750, 0.9025, 0.0275)
Cd (0.6525, 0.6250, 0.5275)
Cd (0.8750, 0.3475, 0.9725)
Mo (0.0000, 0.0000, 0.0000)
Mo (0.7500, 0.2500, 0.5000)
Pb (0.2500, 0.7500, 0.5000)
Pb (0.5000, 0.5000, 0.0000)

=====

[11]
Density functional theory data (PBE) for crystalline KMo3Cl at its relaxed geometry.

Values from the calculation:
E above lowest polymorph: 183.2 kJ per mole of atoms
Space-group type: No. 221
Formation energy from raw total energies: 3.48 eV per atom

a b c (Å): 4.6513 4.6513 4.6513
angles (deg): 90.00 90.00 90.00
Atoms (fractional coordinates):
K (0.0000, 0.0000, 0.0000)
Mo (0.0000, 0.0000, 0.5000)
Mo (0.0000, 0.5000, 0.0000)
Mo (0.5000, 0.0000, 0.0000)
Cl (0.5000, 0.5000, 0.5000)

=====

[12]
Density functional theory data (PBE) for crystalline Ca3AlTc at its relaxed geometry.

Values from the calculation:
E above lowest polymorph: 33.1 kJ per mole of atoms
Space-group type: No. 221
Formation energy from the elements: 0.980 eV per atom

a b c (Å): 5.7254 5.7254 5.7254
angles (deg): 90.00 90.00 90.00
Atoms (fractional coordinates):
Ca (0.0000, 0.0000, 0.5000)
Ca (0.0000, 0.5000, 0.0000)
Ca (0.5000, 0.0000, 0.0000)
Al (0.0000, 0.0000, 0.0000)
Tc (0.5000, 0.5000, 0.5000)

=====

no.,volume (Å³/atom)
1,18.29
2,24.56
3,16.72
4,18.06
5,22.04
6,21.66
7,22.22
8,31.74
9,20.69
10,23.34
11,20.13
12,37.54